No. 1
DFT (PBE-GGA) results for a geometry-optimized CaTb4Dy15 structure.

Properties
Its symmetry is No. 123. For the calculated formation energy, the calculation gives 0.037 eV/atom.

The structure in POSCAR format:
```
CaTb4Dy15
1.0
5.032 0.000 0.000
0.000 5.032 0.000
0.000 0.000 25.195
Tb Dy Ca
4 15 1
Cartesian
0.000 0.000 15.104
0.000 0.000 20.127
0.000 0.000 10.091
0.000 0.000 5.068
2.516 2.516 15.110
2.516 0.000 17.603
0.000 2.516 7.593
0.000 2.516 22.573
2.516 0.000 7.593
2.516 0.000 22.573
2.516 2.516 5.057
2.516 2.516 20.138
0.000 2.516 2.622
0.000 2.516 17.603
2.516 0.000 2.622
2.516 2.516 10.085
0.000 2.516 12.598
2.516 2.516 0.000
2.516 0.000 12.598
0.000 0.000 0.000
```

No. 2
DFT (PBE-GGA) results for a geometry-optimized Pu5S5N structure.

Properties
Its symmetry is No. 12. For the total DFT energy (no corrections), the calculation gives -10.73 eV per atom.

The structure in POSCAR format:
```
Pu5S5N
1.0
5.469 0.000 0.000
-2.735 6.190 -0.064
0.000 -2.392 7.312
N Pu S
1 5 5
Cartesian
0.000 0.000 0.000
0.000 1.165 2.277
2.735 0.000 0.000
2.735 3.981 1.112
2.735 2.633 4.971
0.000 -0.183 6.136
0.000 3.714 1.150
0.000 2.320 4.862
2.735 0.085 6.098
0.000 -1.196 3.656
2.735 1.478 2.386
```

No. 3
DFT (PBE-GGA) results for a geometry-optimized DyCd3Pd structure.

Properties
Its symmetry is No. 62. As for the relative energy among the computed polymorphs: 0 meV per atom. For the calculated formation energy, the calculation gives -0.368 eV/atom.

The structure in POSCAR format:
```
DyCd3Pd
1.0
-0.861 0.645 4.070
8.854 -2.009 2.191
2.826 11.173 -1.173
Dy Cd Pd
4 12 4
Cartesian
7.271 4.262 1.951
1.483 -0.117 1.421
9.335 9.925 3.668
3.547 5.547 3.138
4.881 0.078 2.109
9.464 5.170 4.449
5.631 7.178 1.143
7.274 7.001 3.696
10.306 7.152 2.136
1.354 4.639 0.640
7.710 0.770 2.598
5.937 9.731 2.980
3.108 9.039 2.491
3.544 2.808 1.394
0.513 2.657 2.954
5.187 2.631 3.946
2.744 1.268 3.646
7.840 2.912 4.463
2.978 6.897 0.626
8.075 8.541 1.443
```

No. 4
DFT (PBE-GGA) results for a geometry-optimized IrCSCl2 structure.

Properties
Its symmetry is No. 123. As for the relative energy among the computed polymorphs: 236 meV per atom.

The structure in POSCAR format:
```
IrCSCl2
1.0
-0.134 -3.734 -1.627
3.997 -0.434 0.666
-0.867 -1.742 4.070
C S Cl Ir
1 1 2 1
Cartesian
0.000 0.000 0.000
-0.434 -0.871 2.035
1.999 -0.217 0.333
-0.067 -1.867 -0.813
1.498 -2.955 1.554
```

No. 5
DFT (PBE-GGA) results for a geometry-optimized CaCdInHg3 structure.

Properties
Its symmetry is No. 63. For the calculated formation energy, the calculation gives -0.228 eV/atom.

The structure in POSCAR format:
```
CaCdInHg3
1.0
4.818 0.000 0.000
-2.409 8.056 0.000
0.000 0.000 7.936
Hg Cd Ca In
6 2 2 2
Cartesian
0.000 5.623 0.103
0.000 2.722 5.952
2.409 2.434 7.833
2.409 5.334 1.984
0.000 5.623 3.865
2.409 2.434 4.072
0.000 0.000 0.000
0.000 0.000 3.968
2.409 5.088 5.952
0.000 2.968 1.984
2.409 0.218 1.984
0.000 7.838 5.952
```

No. 6
DFT (PBE-GGA) results for a geometry-optimized SiSb4As structure.

Properties
Its symmetry is No. 216. For the total DFT energy (no corrections), the calculation gives -3.66 eV per atom.

The structure in POSCAR format:
```
SiSb4As
1.0
-4.154 -4.496 -0.265
-5.963 1.357 -0.372
-3.060 -1.041 -5.205
Sb Si As
4 1 1
Cartesian
-6.472 -2.088 -4.790
-7.921 -0.891 -2.378
-4.944 -1.569 -2.192
-7.018 -3.812 -2.324
-9.883 -3.135 -4.381
0.000 0.000 0.000
```